CaPr2BeO5 | PBE | relaxed

abc: 5.5507 6.6179 6.6179
angles: 90.00 90.00 90.00
With the nearest neighbours (Å) after each atom.
Sites, in units of the cell vectors:
Ca: 0.0000 0.5000 0.5000  10 O 2.78-2.86
Ca: 0.0000 0.0000 0.0000  10 O 2.78-2.86
Pr: 0.5000 0.6732 0.1732  8 O 2.39-2.57
Pr: 0.5000 0.1732 0.3268  8 O 2.39-2.57
Pr: 0.5000 0.8268 0.6732  8 O 2.39-2.57
Pr: 0.5000 0.3268 0.8268  8 O 2.39-2.57
Be: 0.0000 0.0000 0.5000  4 O 1.75
Be: 0.0000 0.5000 0.0000  4 O 1.75
O: 0.5000 0.5000 0.5000  4 Pr 2.45
O: 0.5000 0.0000 0.0000  4 Pr 2.45
O: 0.2203 0.1332 0.6332  1 Be 1.75
O: 0.2203 0.8668 0.3668  1 Be 1.75
O: 0.2203 0.3668 0.1332  1 Be 1.75
O: 0.2203 0.6332 0.8668  1 Be 1.75
O: 0.7797 0.1332 0.6332  1 Be 1.75
O: 0.7797 0.6332 0.8668  1 Be 1.75
O: 0.7797 0.8668 0.3668  1 Be 1.75
O: 0.7797 0.3668 0.1332  1 Be 1.75

**Relative energy among the computed polymorphs**: 262 kJ/mol of formula units
**Total DFT energy (no corrections)**: -7.25 eV/atom
**Formation energy from raw total energies**: -2.80 eV/atom